[1]
! Hf15TlIn4 (GGA-PBE, relaxed); values from VASP
&SYSTEM
  ibrav = 0, nat = 20, ntyp = 3
/
ATOMIC_SPECIES
Hf 178.49 Hf.upf
In 114.82 In.upf
Tl 204.38 Tl.upf
CELL_PARAMETERS angstrom
4.431 0.000 0.000
0.000 4.431 0.000
0.000 0.000 22.133
ATOMIC_POSITIONS crystal
Hf 0.500 0.500 0.600
Hf 0.500 0.000 0.500
Hf 0.500 0.500 0.000
Hf 0.500 0.000 0.700
Hf 0.500 0.000 0.101
Hf 0.000 0.500 0.500
Hf 0.500 0.500 0.400
Hf 0.000 0.500 0.101
Hf 0.500 0.000 0.300
Hf 0.000 0.500 0.300
Hf 0.500 0.500 0.200
Hf 0.000 0.500 0.700
Hf 0.500 0.000 0.899
Hf 0.000 0.500 0.899
Hf 0.500 0.500 0.800
In 0.000 0.000 0.600
In 0.000 0.000 0.400
In 0.000 0.000 0.200
In 0.000 0.000 0.800
Tl 0.000 0.000 0.000
! **Space-group type**: P4/mmm (123)

***

[2]
! MgTlI2Br (GGA-PBE, relaxed); values from VASP
&SYSTEM
  ibrav = 0, nat = 5, ntyp = 4
/
ATOMIC_SPECIES
I 126.90 I.upf
Tl 204.38 Tl.upf
Br 79.90 Br.upf
Mg 24.30 Mg.upf
CELL_PARAMETERS angstrom
-2.827 3.894 -3.373
-1.553 -4.312 -3.677
-4.356 -0.779 2.753
ATOMIC_POSITIONS crystal
I 0.500 0.000 0.000
I 0.000 0.500 0.000
Tl 0.500 0.500 0.500
Br 0.000 0.000 0.500
Mg 0.000 0.000 0.000
! **Raw formation energy**: -913 meV/atom
! **Space-group type**: P4/mmm (123)

***

[3]
! Ac2CuRu (GGA-PBE, relaxed); values from VASP
&SYSTEM
  ibrav = 0, nat = 8, ntyp = 3
/
ATOMIC_SPECIES
Cu 63.55 Cu.upf
Ac 227.00 Ac.upf
Ru 101.07 Ru.upf
CELL_PARAMETERS angstrom
-2.211 -1.747 3.304
-3.656 -3.085 -4.078
6.691 -4.713 1.986
ATOMIC_POSITIONS crystal
Cu 0.750 0.633 0.784
Cu 0.250 0.367 0.216
Ac 0.750 0.222 0.439
Ac 0.750 0.228 0.923
Ac 0.250 0.772 0.077
Ac 0.250 0.778 0.561
Ru 0.750 0.642 0.281
Ru 0.250 0.358 0.719
! **Space-group type**: P2_1/m (11)

***

[4]
! CaAg2Cl (GGA-PBE, relaxed); values from VASP
&SYSTEM
  ibrav = 0, nat = 4, ntyp = 3
/
ATOMIC_SPECIES
Ag 107.87 Ag.upf
Cl 35.45 Cl.upf
Ca 40.08 Ca.upf
CELL_PARAMETERS angstrom
-0.823 -2.434 3.733
0.563 -4.496 0.065
6.285 0.771 1.941
ATOMIC_POSITIONS crystal
Ag 0.211 0.211 0.213
Ag 0.883 0.883 0.127
Cl 0.868 0.868 0.679
Ca 0.538 0.538 0.481
! **ΔE to the lowest computed polymorph**: 3.0 kJ per mole of atoms
! **Raw formation energy**: -664 meV/atom
! **Space-group type**: Cm (8)

***

no.,theoretical density (Mg/m³),total energy (eV per atom),size of the total moment (μB/cell)
1,12.8,-8.243,0.00
2,5.2,-2.660,0.00
3,9.5,-5.566,0.00
4,4.2,-3.052,0.00